A plane-wave DFT calculation with PBE was carried out for a relaxed CsBiRu2O8 crystal.

It has space group C2/m (No. 12), with a = 9.208 Å, b = 6.166 Å, c = 9.089 Å, α = 90.00°, β = 97.14° and γ = 90.00°. The asymmetric unit holds Cs at (0.000, 0.000, 0.000), Bi at (0.000, 0.000, 0.500), Ru at (0.110, 0.500, 0.288), O at (0.004, 0.256, 0.307), O at (0.186, 0.500, 0.121) and O at (0.247, 0.500, 0.450).

As for the crystal system: monoclinic. The value obtained for the volume is 512.0 Å³/cell. The final energy comes out at -6.252 eV per atom. Its uncorrected formation energy is -1006 meV/atom.